Entry 1:
This record from Alexandria describes an optimized crystal structure of SiIr. The functional is PBEsol.

As for the space group: No. 12. As for the crystal system: monoclinic. The uncorrected formation energy is -0.581 eV per atom.

The structure in CIF format:
```
data_SiIr
_chemical_formula_sum 'Si3 Ir3'
_cell_length_a 2.8261
_cell_length_b 5.1186
_cell_length_c 5.9504
_cell_angle_alpha 105.98
_cell_angle_beta 103.74
_cell_angle_gamma 90.00
_space_group_name_H-M_alt 'P 1'
_space_group_IT_number 1
_space_group_name_Hall 'P 1'
loop_
_atom_site_label
_atom_site_type_symbol
_atom_site_fract_x
_atom_site_fract_y
_atom_site_fract_z
Ir1 Ir 0.5000 0.5000 0.0000
Ir2 Ir 0.8345 0.7364 0.6690
Ir3 Ir 0.1655 0.2636 0.3310
Si1 Si 0.1663 0.7875 0.3326
Si2 Si 0.5000 0.0000 0.0000
Si3 Si 0.8337 0.2125 0.6674
```

Entry 2:
This record from Alexandria describes an optimized crystal structure of ScMn2Al. The functional is PBEsol.

The calculated formation energy is -0.030 eV per atom. As for the space group: No. 123. As for the crystal system: tetragonal.

The structure in CIF format:
```
data_ScMn2Al
_chemical_formula_sum 'Sc1 Mn2 Al1'
_cell_length_a 3.4455
_cell_length_b 4.0674
_cell_length_c 4.0674
_cell_angle_alpha 90.00
_cell_angle_beta 90.00
_cell_angle_gamma 90.00
_space_group_name_H-M_alt 'P 1'
_space_group_IT_number 1
_space_group_name_Hall 'P 1'
loop_
_atom_site_label
_atom_site_type_symbol
_atom_site_fract_x
_atom_site_fract_y
_atom_site_fract_z
Sc1 Sc 0.5000 0.5000 0.5000
Al1 Al 0.5000 0.0000 0.0000
Mn1 Mn 0.0000 0.0000 0.5000
Mn2 Mn 0.0000 0.5000 0.0000
```

Entry 3:
This record from Alexandria describes an optimized crystal structure of AlGeSb2. The functional is PBEsol.

The energy above the most stable polymorph in this dataset comes out at 0 meV/atom. As for the space group: No. 122. As for the crystal system: tetragonal. The uncorrected formation energy is 0.138 eV per atom.

The structure in CIF format:
```
data_AlGeSb2
_chemical_formula_sum 'Al2 Ge2 Sb4'
_cell_length_a 6.2109
_cell_length_b 6.2109
_cell_length_c 7.6854
_cell_angle_alpha 113.83
_cell_angle_beta 113.83
_cell_angle_gamma 90.00
_space_group_name_H-M_alt 'P 1'
_space_group_IT_number 1
_space_group_name_Hall 'P 1'
loop_
_atom_site_label
_atom_site_type_symbol
_atom_site_fract_x
_atom_site_fract_y
_atom_site_fract_z
Sb1 Sb 0.8656 0.3750 0.2500
Sb2 Sb 0.1250 0.1344 0.7500
Sb3 Sb 0.3844 0.8750 0.2500
Sb4 Sb 0.6250 0.6156 0.7500
Al1 Al 0.5000 0.5000 0.0000
Al2 Al 0.7500 0.2500 0.5000
Ge1 Ge 0.0000 0.0000 0.0000
Ge2 Ge 0.2500 0.7500 0.5000
```

Entry 4:
This record from Alexandria describes an optimized crystal structure of Mn2ZnMo. The functional is PBEsol.

The calculated formation energy is 0.225 eV per atom. As for the space group: No. 10. As for the crystal system: monoclinic.

The structure in CIF format:
```
data_Mn2ZnMo
_chemical_formula_sum 'Mn2 Zn1 Mo1'
_cell_length_a 2.5350
_cell_length_b 4.1239
_cell_length_c 4.8472
_cell_angle_alpha 90.00
_cell_angle_beta 97.12
_cell_angle_gamma 90.00
_space_group_name_H-M_alt 'P 1'
_space_group_IT_number 1
_space_group_name_Hall 'P 1'
loop_
_atom_site_label
_atom_site_type_symbol
_atom_site_fract_x
_atom_site_fract_y
_atom_site_fract_z
Zn1 Zn 0.0000 0.5000 0.5000
Mn1 Mn 0.2698 0.0000 0.2517
Mn2 Mn 0.7302 0.0000 0.7483
Mo1 Mo 0.5000 0.5000 0.0000
```

Entry 5:
This record from Alexandria describes an optimized crystal structure of ThAu3. The functional is PBEsol.

The calculated formation energy is -0.597 eV per atom. As for the space group: No. 225. As for the crystal system: cubic.

The structure in CIF format:
```
data_ThAu3
_chemical_formula_sum 'Th1 Au3'
_cell_length_a 4.9042
_cell_length_b 4.9042
_cell_length_c 4.9042
_cell_angle_alpha 60.00
_cell_angle_beta 60.00
_cell_angle_gamma 60.00
_space_group_name_H-M_alt 'P 1'
_space_group_IT_number 1
_space_group_name_Hall 'P 1'
loop_
_atom_site_label
_atom_site_type_symbol
_atom_site_fract_x
_atom_site_fract_y
_atom_site_fract_z
Th1 Th 0.5000 0.5000 0.5000
Au1 Au 0.0000 0.0000 0.0000
Au2 Au 0.2500 0.2500 0.2500
Au3 Au 0.7500 0.7500 0.7500
```

Entry 6:
This record from Alexandria describes an optimized crystal structure of BaSr2P6N12. The functional is PBEsol.

As for the space group: No. 205. As for the crystal system: cubic. The uncorrected formation energy is -1.039 eV per atom.

The structure in CIF format:
```
data_BaSr2P6N12
_chemical_formula_sum 'Ba4 Sr8 P24 N48'
_cell_length_a 10.0591
_cell_length_b 10.0591
_cell_length_c 10.0591
_cell_angle_alpha 90.00
_cell_angle_beta 90.00
_cell_angle_gamma 90.00
_space_group_name_H-M_alt 'P 1'
_space_group_IT_number 1
_space_group_name_Hall 'P 1'
loop_
_atom_site_label
_atom_site_type_symbol
_atom_site_fract_x
_atom_site_fract_y
_atom_site_fract_z
Ba1 Ba 0.0000 0.5000 0.5000
Ba2 Ba 0.5000 0.5000 0.0000
Ba3 Ba 0.0000 0.0000 0.0000
Ba4 Ba 0.5000 0.0000 0.5000
P1 P 0.6141 0.3119 0.6587
P2 P 0.6881 0.3413 0.3859
P3 P 0.6587 0.8859 0.8119
P4 P 0.8119 0.6587 0.8859
P5 P 0.8413 0.1141 0.3119
P6 P 0.8859 0.6881 0.1587
P7 P 0.3119 0.6587 0.6141
P8 P 0.8119 0.8413 0.3859
P9 P 0.3413 0.3859 0.6881
P10 P 0.1587 0.6141 0.1881
P11 P 0.6141 0.1881 0.1587
P12 P 0.8859 0.8119 0.6587
P13 P 0.3119 0.8413 0.1141
P14 P 0.3413 0.1141 0.1881
P15 P 0.1881 0.3413 0.1141
P16 P 0.6881 0.1587 0.8859
P17 P 0.1141 0.3119 0.8413
P18 P 0.3859 0.6881 0.3413
P19 P 0.1881 0.1587 0.6141
P20 P 0.3859 0.8119 0.8413
P21 P 0.1141 0.1881 0.3413
P22 P 0.6587 0.6141 0.3119
P23 P 0.1587 0.8859 0.6881
P24 P 0.8413 0.3859 0.8119
Sr1 Sr 0.8717 0.1283 0.6283
Sr2 Sr 0.8717 0.3717 0.1283
Sr3 Sr 0.6283 0.8717 0.1283
Sr4 Sr 0.3717 0.1283 0.8717
Sr5 Sr 0.3717 0.3717 0.3717
Sr6 Sr 0.1283 0.8717 0.3717
Sr7 Sr 0.1283 0.6283 0.8717
Sr8 Sr 0.6283 0.6283 0.6283
N1 N 0.0000 0.5886 0.2182
N2 N 0.1163 0.1702 0.7610
N3 N 0.8837 0.6702 0.7390
N4 N 0.7182 0.0000 0.9114
N5 N 0.9114 0.7818 0.5000
N6 N 0.7818 0.5000 0.9114
N7 N 0.0000 0.9114 0.7182
N8 N 0.5000 0.0886 0.2182
N9 N 0.0000 0.4114 0.7818
N10 N 0.1163 0.3298 0.2610
N11 N 0.5886 0.2818 0.5000
N12 N 0.6702 0.7610 0.3837
N13 N 0.7182 0.5000 0.4114
N14 N 0.7818 0.0000 0.4114
N15 N 0.5886 0.2182 0.0000
N16 N 0.0886 0.2818 0.0000
N17 N 0.6163 0.1702 0.7390
N18 N 0.4114 0.7818 0.0000
N19 N 0.0886 0.2182 0.5000
N20 N 0.8837 0.8298 0.2390
N21 N 0.5000 0.9114 0.7818
N22 N 0.2390 0.8837 0.8298
N23 N 0.2818 0.0000 0.0886
N24 N 0.3837 0.8298 0.2610
N25 N 0.5000 0.4114 0.7182
N26 N 0.3837 0.6702 0.7610
N27 N 0.7390 0.6163 0.1702
N28 N 0.3298 0.2610 0.1163
N29 N 0.2818 0.5000 0.5886
N30 N 0.2390 0.6163 0.3298
N31 N 0.7610 0.1163 0.1702
N32 N 0.7610 0.3837 0.6702
N33 N 0.0000 0.0886 0.2818
N34 N 0.5000 0.5886 0.2818
N35 N 0.8298 0.2390 0.8837
N36 N 0.8298 0.2610 0.3837
N37 N 0.3298 0.2390 0.6163
N38 N 0.9114 0.7182 0.0000
N39 N 0.7390 0.8837 0.6702
N40 N 0.6702 0.7390 0.8837
N41 N 0.4114 0.7182 0.5000
N42 N 0.1702 0.7390 0.6163
N43 N 0.2610 0.3837 0.8298
N44 N 0.6163 0.3298 0.2390
N45 N 0.2182 0.0000 0.5886
N46 N 0.2610 0.1163 0.3298
N47 N 0.2182 0.5000 0.0886
N48 N 0.1702 0.7610 0.1163
```

Looking at E_tot for the records above, in order, we have -8.366 -7.585 -4.399 -7.993 -5.567 -7.844 eV per atom.